No. 1
Material: BaTbPa
Method: DFT, PBE-GGA
State: optimized geometry

Crystal system: cubic
Polymorph energy (0 for the lowest one) in meV per atom: 0
M_tot in μB/atom: 0.550

abc: 7.857 7.857 7.857
angles: 90.00 90.00 90.00
Space group F-43m (No. 216)
Inequivalent atoms, fractional coordinates:
Ba: 0.000 0.000 0.000 [4 per cell]
Tb: 0.250 0.250 0.750 [4 per cell]
Pa: 0.000 0.000 0.500 [4 per cell]

No. 2
Material: SmZnPO
Method: DFT, PBE-GGA
State: optimized geometry

Crystal system: orthorhombic
M_tot in μB/atom: 0.000
E_tot in eV/atom: -5.73

abc: 4.961 4.072 6.751
angles: 90.00 90.00 90.00
Space group Pmc2_1 (No. 26)
Inequivalent atoms, fractional coordinates:
Sm: 0.000 0.240 0.000 [2 per cell]
Zn: 0.500 0.264 0.355 [2 per cell]
P: 0.500 0.237 0.695 [2 per cell]
O: 0.000 0.262 0.341 [2 per cell]

No. 3
Material: LuAlZnNi
Method: DFT, PBE-GGA
State: optimized geometry

Crystal system: cubic
M_tot in μB/atom: 0.001
E_tot in eV/atom: -4.05

abc: 6.374 6.374 6.374
angles: 90.00 90.00 90.00
Space group F-43m (No. 216)
Inequivalent atoms, fractional coordinates:
Lu: 0.000 0.000 0.000 [4 per cell]
Al: 0.250 0.250 0.250 [4 per cell]
Zn: 0.250 0.250 0.750 [4 per cell]
Ni: 0.000 0.000 0.500 [4 per cell]